Material: Mn3CrCo2P6O24
Method: DFT, GGA+U
State: optimized geometry

Values from the calculation:
**Calculated volume**: 436.5 Å³/cell
**Uncorrected energy**: -0.262 hartree per atom

Geometry as POSCAR:
```
Mn3CrCo2P6O24
1.0
4.293 2.479 6.837
-4.293 2.479 6.837
0.000 -4.957 6.837
Mn Cr Co P O
3 1 2 6 24
direct
0.000 0.000 0.000 Mn
0.215 0.215 0.215 Mn
0.714 0.714 0.714 Mn
0.498 0.498 0.498 Cr
0.356 0.356 0.356 Co
0.857 0.857 0.857 Co
0.109 0.818 0.397 P
0.310 0.607 0.903 P
0.397 0.109 0.818 P
0.607 0.903 0.310 P
0.818 0.397 0.109 P
0.903 0.310 0.607 P
0.031 0.859 0.247 O
0.107 0.288 0.445 O
0.107 0.767 0.922 O
0.193 0.969 0.345 O
0.247 0.031 0.859 O
0.267 0.615 0.411 O
0.288 0.445 0.107 O
0.345 0.193 0.969 O
0.347 0.549 0.742 O
0.411 0.267 0.615 O
0.445 0.107 0.288 O
0.463 0.668 0.880 O
0.549 0.742 0.347 O
0.597 0.954 0.810 O
0.615 0.411 0.267 O
0.668 0.880 0.463 O
0.742 0.347 0.549 O
0.767 0.922 0.107 O
0.810 0.597 0.954 O
0.859 0.247 0.031 O
0.880 0.463 0.668 O
0.922 0.107 0.767 O
0.954 0.810 0.597 O
0.969 0.345 0.193 O
```